Here is a relaxed structure of Ir2Se from Alexandria via LeMat-Bulk. Energies are from PBE-GGA.

Cell: 3.001 3.001 21.518 Å, 90.00 90.00 90.00°
Space group I4_1/amd (No. 141, origin choice 2)
Unique sites:
1 Ir 0.000 0.250 0.301 [8 per cell]
2 Se 0.000 0.250 0.875 [4 per cell]

Computed properties:
Formation energy without anion corrections (eV per atom): 0.6119
E above lowest polymorph (eV per atom): 0.604
Density of states at the Fermi level (states/eV per atom): 0.9089